Here is an optimized crystal structure of LiVTeW2O12 from Alexandria via LeMat-Bulk. Energies are from PBE with a Hubbard U.

Space-group type = P1 (1)
Calculated volume = 206.1 Å³/f.u.
Magnetic moment = 0.000 μB/atom
Energy = -6.756 eV/atom

Structure (extended XYZ):
```
17
Lattice="5.164 -0.004 0.000 0.041 5.347 -0.015 0.024 0.371 7.463" Properties=species:S:1:pos:R:3 pbc="T T T"
Te 2.608 2.870 3.706
O 4.711 0.126 1.884
O 4.107 1.916 7.201
O 1.587 4.455 3.305
O 1.447 1.176 0.389
O 4.174 3.945 4.117
O 2.067 2.965 5.559
O 1.060 3.787 0.402
O 3.613 1.285 4.133
O 1.017 1.823 3.275
O 3.226 2.765 1.882
O 0.521 0.307 5.637
O 3.728 4.627 7.115
W 2.641 3.212 7.384
W 0.074 5.539 3.902
Li 0.048 2.625 1.674
V 0.028 0.185 0.210
```